# 1
## TmZrSe2 (PBE-GGA)

Data for a relaxed structure of TmZrSe2.

Properties
formation energy from raw total energies = -1.339 eV/atom
E_tot = -6.337 eV/atom
M_tot = 0.000 μB/f.u.
V = 21.8 Å³/atom

The structure in POSCAR format:
```
TmZrSe2
1.0
3.9490 0.0000 0.0000
1.9745 3.4199 0.0000
1.9745 1.1400 6.4602
Tm Se Zr
1 2 1
Cartesian
3.9490 2.2800 3.2301
1.9745 1.1400 1.5924
5.9235 3.4199 4.8678
0.0000 0.0000 0.0000
```

# 2
## TmZrSe3 (PBE-GGA)

Data for a relaxed structure of TmZrSe3.

Properties
formation energy from raw total energies = -1.382 eV/atom
E_tot = -6.077 eV/atom
M_tot = 0.447 μB/f.u.
V = 26.5 Å³/atom

The structure in POSCAR format:
```
TmZrSe3
1.0
-2.3376 0.4611 6.2239
-0.7025 -5.4908 3.7109
5.4254 -0.9046 5.6728
Tm Zr Se
2 2 6
Cartesian
2.3720 -1.2707 4.5531
0.0133 -4.6637 11.0545
4.3464 -2.5890 8.9603
-1.9612 -3.3453 6.6473
0.0592 -5.2245 6.5285
-1.2298 -2.8261 9.2593
-0.1392 -1.4370 5.8312
2.0585 -2.8012 10.4925
3.4148 -4.6730 7.4059
2.9923 -0.8413 7.3054
```

# 3
## TmZrSe2 (PBE-GGA)

Data for a relaxed structure of TmZrSe2.

Properties
formation energy from raw total energies = -1.394 eV/atom
E_tot = -6.391 eV/atom
M_tot = 0.000 μB/f.u.
V = 21.7 Å³/atom

The structure in POSCAR format:
```
TmZrSe2
1.0
3.7024 0.0000 0.0000
1.8512 3.2063 0.0000
1.8512 1.0688 7.3196
Tm Zr Se
1 1 2
Cartesian
3.7023 2.1376 0.0047
3.7024 2.1376 3.6699
1.8512 1.0688 5.4180
1.8512 1.0688 1.8868
```

Q: The highest M_tot belongs to which entry?
A: TmZrSe3

Q: The lowest E_tot belongs to which entry?
A: number 3